Density functional theory data (GGA-PBEsol) for a geometry-optimized HgTe2Br structure.

Cell lengths 5.2695, 5.2695, 5.2695 Å; angles 60.00, 60.00, 60.00 degrees
Positions (direct):
Hg (0.0000, 0.0000, 0.0000)
Te (0.2500, 0.2500, 0.2500)
Te (0.5000, 0.5000, 0.5000)
Br (0.7500, 0.7500, 0.7500)

Output
Energy relative to the elements, uncorrected   0.6 eV per formula unit


Density functional theory data (GGA-PBEsol) for a geometry-optimized BeZnTc2 structure.

Cell lengths 4.4342, 4.4342, 4.4667 Å; angles 99.89, 99.89, 35.84 degrees
Positions (direct):
Be (0.0000, 0.0000, 0.0000)
Zn (0.7482, 0.7482, 0.2074)
Tc (0.2609, 0.2609, 0.7231)
Tc (0.5041, 0.5041, 0.5005)

Output
Total energy   -0.5089 Ry/atom


Density functional theory data (GGA-PBEsol) for a geometry-optimized MnCo2Mo structure.

Cell lengths 8.4316, 8.4316, 8.4316 Å; angles 17.44, 17.44, 17.44 degrees
Positions (direct):
Mn (0.0000, 0.0000, 0.0000)
Co (0.2567, 0.2567, 0.2567)
Co (0.5118, 0.5118, 0.5118)
Mo (0.7582, 0.7582, 0.7582)

Output
Total energy   -0.6598 Ry/atom


Density functional theory data (GGA-PBEsol) for a geometry-optimized CoCuOs structure.

Cell lengths 4.4137, 4.4137, 4.4137 Å; angles 146.15, 131.65, 60.32 degrees
Positions (direct):
Co (0.0000, 0.0000, 0.0000)
Cu (0.6692, 0.6692, 0.0000)
Os (0.3414, 0.3414, 0.0000)

Output
Total energy   -0.5738 Ry/atom


Total moment for the records above, in order: 0.0; 0.0; 0.7; 0.0 μB/cell